1.
A relaxed SmMgAu crystal, computed with GGA-PBEsol.

Geometry as CIF:
```
data_SmMgAu
_cell_length_a 7.6260
_cell_length_b 7.6260
_cell_length_c 4.0795
_cell_angle_alpha 90.00
_cell_angle_beta 90.00
_cell_angle_gamma 120.00
_space_group_name_H-M_alt 'P -6 2 m'
_space_group_IT_number 189
_space_group_name_Hall 'P -6 -2'
loop_
_atom_site_label
_atom_site_fract_x
_atom_site_fract_y
_atom_site_fract_z
_atom_site_occupancy
Sm1 0.0000 0.4131 0.0000 1
Mg1 0.0000 0.7554 0.5000 1
Au1 0.0000 0.0000 0.0000 1
Au2 0.3333 0.6667 0.5000 1
```

Calculated values
* energy of formation from the pure elements: -0.664 eV per atom
* total DFT energy (no corrections): -4.242 eV/atom

=====

2.
A relaxed MgSnAu crystal, computed with GGA-PBEsol.

Geometry as CIF:
```
data_MgSnAu
_cell_length_a 6.416
_cell_length_b 6.416
_cell_length_c 6.416
_cell_angle_alpha 90.00
_cell_angle_beta 90.00
_cell_angle_gamma 90.00
_space_group_name_H-M_alt 'F -4 3 m'
_space_group_IT_number 216
_space_group_name_Hall 'F -4 2 3'
loop_
_atom_site_label
_atom_site_fract_x
_atom_site_fract_y
_atom_site_fract_z
_atom_site_occupancy
Mg1 0.000 0.000 0.000 1
Sn1 0.000 0.000 0.500 1
Au1 0.250 0.250 0.750 1
```

Calculated values
* energy of formation from the pure elements: -0.467 eV per atom
* total DFT energy (no corrections): -3.767 eV/atom

=====

3.
A relaxed Sr2MgAu crystal, computed with GGA-PBEsol.

Geometry as CIF:
```
data_Sr2MgAu
_cell_length_a 4.556
_cell_length_b 4.703
_cell_length_c 12.077
_cell_angle_alpha 90.00
_cell_angle_beta 90.00
_cell_angle_gamma 90.00
_space_group_name_H-M_alt 'A m m 2'
_space_group_IT_number 38
_space_group_name_Hall 'A 2 -2'
loop_
_atom_site_label
_atom_site_fract_x
_atom_site_fract_y
_atom_site_fract_z
_atom_site_occupancy
Sr1 0.000 0.000 0.000 1
Sr2 0.500 0.000 0.291 1
Mg1 0.500 0.000 0.591 1
Au1 0.000 0.000 0.715 1
```

Calculated values
* energy of formation from the pure elements: -0.387 eV per atom
* total DFT energy (no corrections): -2.717 eV/atom

=====

4.
A relaxed SrMg2Au crystal, computed with GGA-PBEsol.

Geometry as CIF:
```
data_SrMg2Au
_cell_length_a 4.981
_cell_length_b 4.981
_cell_length_c 7.255
_cell_angle_alpha 90.00
_cell_angle_beta 90.00
_cell_angle_gamma 90.00
_space_group_name_H-M_alt 'I 4/m m m'
_space_group_IT_number 139
_space_group_name_Hall '-I 4 2'
loop_
_atom_site_label
_atom_site_fract_x
_atom_site_fract_y
_atom_site_fract_z
_atom_site_occupancy
Sr1 0.000 0.000 0.000 1
Mg1 0.000 0.500 0.250 1
Au1 0.000 0.000 0.500 1
```

Calculated values
* energy of formation from the pure elements: -0.212 eV per atom
* total DFT energy (no corrections): -2.512 eV/atom

=====

5.
A relaxed SrMg2Au crystal, computed with GGA-PBEsol.

Geometry as CIF:
```
data_SrMg2Au
_cell_length_a 4.7483
_cell_length_b 4.7483
_cell_length_c 16.5661
_cell_angle_alpha 90.00
_cell_angle_beta 90.00
_cell_angle_gamma 120.00
_space_group_name_H-M_alt 'R 3 m'
_space_group_IT_number 160
_space_group_name_Hall 'R 3 -2"'
loop_
_atom_site_label
_atom_site_fract_x
_atom_site_fract_y
_atom_site_fract_z
_atom_site_occupancy
Sr1 0.0000 0.0000 0.0000 1
Mg1 0.0000 0.0000 0.2003 1
Mg2 0.0000 0.0000 0.4694 1
Au1 0.0000 0.0000 0.8079 1
```

Calculated values
* energy of formation from the pure elements: -0.376 eV per atom
* total DFT energy (no corrections): -2.676 eV/atom

=====

6.
A relaxed Sr2MgAu crystal, computed with GGA-PBEsol.

Geometry as CIF:
```
data_Sr2MgAu
_cell_length_a 3.806
_cell_length_b 3.806
_cell_length_c 8.469
_cell_angle_alpha 90.00
_cell_angle_beta 90.00
_cell_angle_gamma 90.00
_space_group_name_H-M_alt 'P 4/m m m'
_space_group_IT_number 123
_space_group_name_Hall '-P 4 2'
loop_
_atom_site_label
_atom_site_fract_x
_atom_site_fract_y
_atom_site_fract_z
_atom_site_occupancy
Sr1 0.000 0.000 0.214 1
Mg1 0.500 0.500 0.500 1
Au1 0.500 0.500 0.000 1
```

Calculated values
* energy of formation from the pure elements: -0.368 eV per atom
* total DFT energy (no corrections): -2.698 eV/atom

=====

7.
A relaxed SrMgAu crystal, computed with GGA-PBEsol.

Geometry as CIF:
```
data_SrMgAu
_cell_length_a 4.6554
_cell_length_b 4.6554
_cell_length_c 4.3739
_cell_angle_alpha 90.00
_cell_angle_beta 90.00
_cell_angle_gamma 120.00
_space_group_name_H-M_alt 'P -6 m 2'
_space_group_IT_number 187
_space_group_name_Hall 'P -6 2'
loop_
_atom_site_label
_atom_site_fract_x
_atom_site_fract_y
_atom_site_fract_z
_atom_site_occupancy
Sr1 0.0000 0.0000 0.0000 1
Mg1 0.3333 0.6667 0.5000 1
Au1 0.6667 0.3333 0.5000 1
```

Calculated values
* energy of formation from the pure elements: -0.490 eV per atom
* total DFT energy (no corrections): -2.984 eV/atom

=====

8.
A relaxed SrMgAu3 crystal, computed with GGA-PBEsol.

Geometry as CIF:
```
data_SrMgAu3
_cell_length_a 4.980
_cell_length_b 4.980
_cell_length_c 4.980
_cell_angle_alpha 90.00
_cell_angle_beta 90.00
_cell_angle_gamma 90.00
_space_group_name_H-M_alt 'P m -3 m'
_space_group_IT_number 221
_space_group_name_Hall '-P 4 2 3'
loop_
_atom_site_label
_atom_site_fract_x
_atom_site_fract_y
_atom_site_fract_z
_atom_site_occupancy
Sr1 0.000 0.000 0.000 1
Mg1 0.500 0.500 0.500 1
Au1 0.000 0.500 0.500 1
```

Calculated values
* energy of formation from the pure elements: -0.241 eV per atom
* total DFT energy (no corrections): -3.307 eV/atom

=====

9.
A relaxed MgTaAu2 crystal, computed with GGA-PBEsol.

Geometry as CIF:
```
data_MgTaAu2
_cell_length_a 6.469
_cell_length_b 6.469
_cell_length_c 6.469
_cell_angle_alpha 90.00
_cell_angle_beta 90.00
_cell_angle_gamma 90.00
_space_group_name_H-M_alt 'F -4 3 m'
_space_group_IT_number 216
_space_group_name_Hall 'F -4 2 3'
loop_
_atom_site_label
_atom_site_fract_x
_atom_site_fract_y
_atom_site_fract_z
_atom_site_occupancy
Mg1 0.000 0.000 0.000 1
Ta1 0.250 0.250 0.250 1
Au1 0.000 0.000 0.500 1
Au2 0.250 0.250 0.750 1
```

Calculated values
* energy of formation from the pure elements: 0.106 eV per atom
* total DFT energy (no corrections): -5.423 eV/atom

=====

10.
A relaxed MgTaAu2 crystal, computed with GGA-PBEsol.

Geometry as CIF:
```
data_MgTaAu2
_cell_length_a 3.328
_cell_length_b 3.328
_cell_length_c 6.236
_cell_angle_alpha 90.00
_cell_angle_beta 90.00
_cell_angle_gamma 90.00
_space_group_name_H-M_alt 'P 4 m m'
_space_group_IT_number 99
_space_group_name_Hall 'P 4 -2'
loop_
_atom_site_label
_atom_site_fract_x
_atom_site_fract_y
_atom_site_fract_z
_atom_site_occupancy
Mg1 0.000 0.000 0.000 1
Ta1 0.500 0.500 0.289 1
Au1 0.000 0.000 0.518 1
Au2 0.500 0.500 0.785 1
```

Calculated values
* energy of formation from the pure elements: -0.052 eV per atom
* total DFT energy (no corrections): -5.582 eV/atom

=====

11.
A relaxed MgTaAu2 crystal, computed with GGA-PBEsol.

Geometry as CIF:
```
data_MgTaAu2
_cell_length_a 4.896
_cell_length_b 4.896
_cell_length_c 2.889
_cell_angle_alpha 90.00
_cell_angle_beta 90.00
_cell_angle_gamma 90.00
_space_group_name_H-M_alt 'P 4/m m m'
_space_group_IT_number 123
_space_group_name_Hall '-P 4 2'
loop_
_atom_site_label
_atom_site_fract_x
_atom_site_fract_y
_atom_site_fract_z
_atom_site_occupancy
Mg1 0.000 0.000 0.000 1
Ta1 0.500 0.500 0.000 1
Au1 0.000 0.500 0.500 1
```

Calculated values
* energy of formation from the pure elements: -0.227 eV per atom
* total DFT energy (no corrections): -5.756 eV/atom

=====

12.
A relaxed TbMgAu crystal, computed with GGA-PBEsol.

Geometry as CIF:
```
data_TbMgAu
_cell_length_a 7.5390
_cell_length_b 7.5390
_cell_length_c 4.0329
_cell_angle_alpha 90.00
_cell_angle_beta 90.00
_cell_angle_gamma 120.00
_space_group_name_H-M_alt 'P -6 2 m'
_space_group_IT_number 189
_space_group_name_Hall 'P -6 -2'
loop_
_atom_site_label
_atom_site_fract_x
_atom_site_fract_y
_atom_site_fract_z
_atom_site_occupancy
Tb1 0.0000 0.5879 0.0000 1
Mg1 0.0000 0.2467 0.5000 1
Au1 0.0000 0.0000 0.0000 1
Au2 0.3333 0.6667 0.5000 1
```

Calculated values
* energy of formation from the pure elements: -0.684 eV per atom
* total DFT energy (no corrections): -4.234 eV/atom

=====

13.
A relaxed MgTcAu2 crystal, computed with GGA-PBEsol.

Geometry as CIF:
```
data_MgTcAu2
_cell_length_a 2.8485
_cell_length_b 2.8485
_cell_length_c 27.4312
_cell_angle_alpha 90.00
_cell_angle_beta 90.00
_cell_angle_gamma 120.00
_space_group_name_H-M_alt 'R -3 m'
_space_group_IT_number 166
_space_group_name_Hall '-R 3 2"'
loop_
_atom_site_label
_atom_site_fract_x
_atom_site_fract_y
_atom_site_fract_z
_atom_site_occupancy
Mg1 0.0000 0.0000 0.0000 1
Tc1 0.0000 0.0000 0.5000 1
Au1 0.0000 0.0000 0.2498 1
```

Calculated values
* energy of formation from the pure elements: 0.086 eV per atom
* total DFT energy (no corrections): -5.122 eV/atom

=====

14.
A relaxed MgTc2Au crystal, computed with GGA-PBEsol.

Geometry as CIF:
```
data_MgTc2Au
_cell_length_a 2.939
_cell_length_b 2.939
_cell_length_c 7.303
_cell_angle_alpha 90.00
_cell_angle_beta 90.00
_cell_angle_gamma 90.00
_space_group_name_H-M_alt 'P 4 m m'
_space_group_IT_number 99
_space_group_name_Hall 'P 4 -2'
loop_
_atom_site_label
_atom_site_fract_x
_atom_site_fract_y
_atom_site_fract_z
_atom_site_occupancy
Mg1 0.000 0.000 0.000 1
Tc1 0.000 0.000 0.461 1
Tc2 0.500 0.500 0.271 1
Au1 0.500 0.500 0.743 1
```

Calculated values
* energy of formation from the pure elements: -0.021 eV per atom
* relative energy among the computed polymorphs: 0 meV/atom
* total DFT energy (no corrections): -7.064 eV/atom

=====

15.
A relaxed MgTc2Au crystal, computed with GGA-PBEsol.

Geometry as CIF:
```
data_MgTc2Au
_cell_length_a 5.148
_cell_length_b 8.745
_cell_length_c 2.709
_cell_angle_alpha 90.00
_cell_angle_beta 90.00
_cell_angle_gamma 90.00
_space_group_name_H-M_alt 'C m m m'
_space_group_IT_number 65
_space_group_name_Hall '-C 2 2'
loop_
_atom_site_label
_atom_site_fract_x
_atom_site_fract_y
_atom_site_fract_z
_atom_site_occupancy
Mg1 0.000 0.000 0.000 1
Tc1 0.250 0.250 0.500 1
Au1 0.000 0.500 0.000 1
```

Calculated values
* energy of formation from the pure elements: 0.278 eV per atom
* relative energy among the computed polymorphs: 299 meV/atom
* total DFT energy (no corrections): -6.766 eV/atom